No. 1
Entry from Alexandria via LeMat-Bulk: a relaxed BaAg2Br crystal (PBE).

Structure (POSCAR):
```
BaAg2Br
1.0
4.771 0.000 0.000
0.000 4.771 0.000
0.000 0.000 6.021
Ba Ag Br
1 2 1
Direct
0.000 0.000 0.000
0.500 0.500 0.244
0.500 0.500 0.756
0.000 0.000 0.500
```

Summary:
**Fermi-level density of states**: 0.432 states/eV per atom
**SG**: P4/mmm, No. 123
**Raw formation energy**: -0.37 eV/atom
**Total magnetic moment**: 0.00 Bohr magnetons per cell
**Raw total energy**: -2.70 eV/atom
**E above lowest polymorph**: 295.3 meV per atom

No. 2
Entry from Alexandria via LeMat-Bulk: a relaxed Ba3AgBr crystal (PBE).

Structure (POSCAR):
```
Ba3AgBr
1.0
6.509 0.000 0.000
0.000 6.509 0.000
0.000 0.000 6.509
Ba Ag Br
3 1 1
Direct
0.000 0.000 0.500
0.000 0.500 0.000
0.500 0.000 0.000
0.000 0.000 0.000
0.500 0.500 0.500
```

Summary:
**Fermi-level density of states**: 1.396 states/eV per atom
**SG**: Pm-3m, No. 221
**Raw formation energy**: -0.37 eV/atom
**Total magnetic moment**: 0.00 Bohr magnetons per cell
**Raw total energy**: -2.43 eV/atom
**E above lowest polymorph**: 0.0 meV per atom